Record 1
The following is a PBE calculation of an optimized crystal structure of Tc2RhCl, from Alexandria via LeMat-Bulk.

* total magnetization: 0.0 μB per formula unit
* D(E_F): 4.31 states/eV/f.u.
* formation energy from raw total energies: 0.51 eV/atom
* electronic total energy: -6.9727 eV/atom
* V: 58.5 Å³ per cell

Cell: 2.784 2.784 7.552 Å, 90.00 90.00 90.00°
Space group P4/mmm (No. 123)
Asymmetric unit:
Tc (0.000, 0.000, 0.250)
Rh (0.500, 0.500, 0.000)
Cl (0.500, 0.500, 0.500)



Record 2
The following is a PBE calculation of an optimized crystal structure of Tc4RhCl, from Alexandria via LeMat-Bulk.

* total magnetization: 0.0 μB per formula unit
* D(E_F): 7.39 states/eV/f.u.
* formation energy from raw total energies: 0.90 eV/atom
* electronic total energy: -7.5410 eV/atom
* V: 386.2 Å³ per cell

Cell: 7.282 7.282 7.282 Å, 90.00 90.00 90.00°
Space group F-43m (No. 216)
Asymmetric unit:
Tc (0.125, 0.125, 0.125)
Rh (0.000, 0.000, 0.500)
Cl (0.250, 0.250, 0.750)



Record 3
The following is a PBE calculation of an optimized crystal structure of Tc2RhCl, from Alexandria via LeMat-Bulk.

* total magnetization: 0.0 μB per formula unit
* D(E_F): 5.04 states/eV/f.u.
* formation energy from raw total energies: 0.40 eV/atom
* electronic total energy: -7.0854 eV/atom
* V: 65.5 Å³ per cell

Cell: 2.839 3.707 6.225 Å, 90.00 90.00 90.00°
Space group Pmmm (No. 47)
Asymmetric unit:
Tc (0.000, 0.000, 0.200)
Rh (0.500, 0.500, 0.000)
Cl (0.000, 0.500, 0.500)



Record 4
The following is a PBE calculation of an optimized crystal structure of Te2RhCl, from Alexandria via LeMat-Bulk.

* total magnetization: 0.0 μB per formula unit
* D(E_F): 1.19 states/eV/f.u.
* formation energy from raw total energies: -0.16 eV/atom
* electronic total energy: -4.0303 eV/atom
* V: 88.3 Å³ per cell

Cell: 3.281 3.401 7.913 Å, 90.00 90.00 90.00°
Space group Pmmm (No. 47)
Asymmetric unit:
Te (0.000, 0.000, 0.203)
Rh (0.500, 0.500, 0.000)
Cl (0.500, 0.500, 0.500)



Record 5
The following is a PBE calculation of an optimized crystal structure of Te2RhCl, from Alexandria via LeMat-Bulk.

* total magnetization: 0.0 μB per formula unit
* D(E_F): 4.33 states/eV/f.u.
* formation energy from raw total energies: 0.30 eV/atom
* electronic total energy: -3.5730 eV/atom
* V: 290.3 Å³ per cell

Cell: 3.1147 3.1147 34.5470 Å, 90.00 90.00 120.00°
Space group R-3m (No. 166, hexagonal axes)
Asymmetric unit:
Te (0.0000, 0.0000, 0.0743)
Rh (0.0000, 0.0000, 0.0000)
Cl (0.0000, 0.0000, 0.5000)



Record 6
The following is a PBE calculation of an optimized crystal structure of TeRhCl3, from Alexandria via LeMat-Bulk.

* total magnetization: 1.3 μB per formula unit
* D(E_F): 4.65 states/eV/f.u.
* formation energy from raw total energies: 0.08 eV/atom
* electronic total energy: -3.1254 eV/atom
* V: 112.8 Å³ per cell

Cell: 4.831 4.831 4.831 Å, 90.00 90.00 90.00°
Space group Pm-3m (No. 221)
Asymmetric unit:
Te (0.000, 0.000, 0.000)
Rh (0.500, 0.500, 0.500)
Cl (0.000, 0.500, 0.500)



Record 7
The following is a PBE calculation of an optimized crystal structure of Te2RhCl, from Alexandria via LeMat-Bulk.

* total magnetization: 0.0 μB per formula unit
* D(E_F): 1.27 states/eV/f.u.
* formation energy from raw total energies: 0.11 eV/atom
* electronic total energy: -3.7592 eV/atom
* V: 328.3 Å³ per cell

Cell: 6.898 6.898 6.898 Å, 90.00 90.00 90.00°
Space group Fm-3m (No. 225)
Asymmetric unit:
Te (0.250, 0.250, 0.250)
Rh (0.000, 0.000, 0.000)
Cl (0.000, 0.000, 0.500)



Record 8
The following is a PBE calculation of an optimized crystal structure of TeRhCl, from Alexandria via LeMat-Bulk.

* total magnetization: 0.0 μB per formula unit
* D(E_F): 2.00 states/eV/f.u.
* formation energy from raw total energies: -0.01 eV/atom
* electronic total energy: -4.1226 eV/atom
* V: 264.3 Å³ per cell

Cell: 6.417 6.417 6.417 Å, 90.00 90.00 90.00°
Space group F-43m (No. 216)
Asymmetric unit:
Te (0.000, 0.000, 0.000)
Rh (0.250, 0.250, 0.250)
Cl (0.000, 0.000, 0.500)



Record 9
The following is a PBE calculation of an optimized crystal structure of Te2RhCl, from Alexandria via LeMat-Bulk.

* total magnetization: 0.0 μB per formula unit
* D(E_F): 3.88 states/eV/f.u.
* formation energy from raw total energies: 0.07 eV/atom
* electronic total energy: -3.8013 eV/atom
* V: 191.6 Å³ per cell

Cell: 3.261 5.139 11.429 Å, 90.00 90.00 90.00°
Space group Immm (No. 71)
Asymmetric unit:
Te (0.000, 0.000, 0.185)
Rh (0.000, 0.500, 0.500)
Cl (0.000, 0.500, 0.000)



Record 10
The following is a PBE calculation of an optimized crystal structure of TeRh2Cl, from Alexandria via LeMat-Bulk.

* total magnetization: 0.0 μB per formula unit
* D(E_F): 5.73 states/eV/f.u.
* formation energy from raw total energies: 0.01 eV/atom
* electronic total energy: -4.9137 eV/atom
* V: 190.8 Å³ per cell

Cell: 9.680 3.223 6.131 Å, 90.00 93.83 90.00°
Space group Cm (No. 8)
Asymmetric unit:
Te (0.000, 0.000, 0.000)
Rh (0.143, 0.500, 0.262)
Rh (0.368, 0.000, 0.253)
Cl (0.238, 0.000, 0.570)



Record 11
The following is a PBE calculation of an optimized crystal structure of TeRhCl, from Alexandria via LeMat-Bulk.

* total magnetization: 0.0 μB per formula unit
* formation energy from raw total energies: -0.52 eV/atom
* electronic total energy: -4.6338 eV/atom
* V: 75.5 Å³ per cell

Cell: 3.7254 3.7254 6.2835 Å, 90.00 90.00 120.00°
Space group P3m1 (No. 156)
Asymmetric unit:
Te (0.0000, 0.0000, 0.0000)
Rh (0.3333, 0.6667, 0.7756)
Cl (0.6667, 0.3333, 0.5442)



Record 12
The following is a PBE calculation of an optimized crystal structure of TeRh2Cl, from Alexandria via LeMat-Bulk.

* total magnetization: 0.0 μB per formula unit
* D(E_F): 5.36 states/eV/f.u.
* formation energy from raw total energies: 0.51 eV/atom
* electronic total energy: -4.4079 eV/atom
* V: 285.3 Å³ per cell

Cell: 6.583 6.583 6.583 Å, 90.00 90.00 90.00°
Space group F-43m (No. 216)
Asymmetric unit:
Te (0.000, 0.000, 0.000)
Rh (0.000, 0.000, 0.500)
Rh (0.250, 0.250, 0.750)
Cl (0.250, 0.250, 0.250)



Record 13
The following is a PBE calculation of an optimized crystal structure of Te4RhCl, from Alexandria via LeMat-Bulk.

* total magnetization: 0.0 μB per formula unit
* D(E_F): 3.66 states/eV/f.u.
* formation energy from raw total energies: -0.12 eV/atom
* electronic total energy: -3.7464 eV/atom
* V: 344.1 Å³ per cell

Cell: 6.850 6.854 7.590 Å, 99.64 99.54 94.87°
Space group P-1 (No. 2)
Asymmetric unit:
Te (0.125, 0.233, 0.463)
Te (0.131, 0.798, 0.081)
Te (0.267, 0.376, 0.037)
Te (0.298, 0.631, 0.581)
Rh (0.002, 0.498, 0.750)
Cl (0.439, 0.061, 0.750)



Record 14
The following is a PBE calculation of an optimized crystal structure of Te2RhCl, from Alexandria via LeMat-Bulk.

* total magnetization: 0.0 μB per formula unit
* D(E_F): 2.83 states/eV/f.u.
* formation energy from raw total energies: -0.02 eV/atom
* electronic total energy: -3.8949 eV/atom
* V: 198.5 Å³ per cell

Cell: 5.084 5.069 7.702 Å, 90.00 90.00 90.00°
Space group Amm2 (No. 38)
Asymmetric unit:
Te (0.000, 0.000, 0.000)
Te (0.500, 0.000, 0.251)
Rh (0.500, 0.000, 0.893)
Cl (0.000, 0.000, 0.567)



Record 15
The following is a PBE calculation of an optimized crystal structure of TeRh2Cl, from Alexandria via LeMat-Bulk.

* total magnetization: 0.0 μB per formula unit
* D(E_F): 4.89 states/eV/f.u.
* formation energy from raw total energies: -0.11 eV/atom
* electronic total energy: -5.0351 eV/atom
* V: 84.2 Å³ per cell

Cell: 3.153 3.616 7.534 Å, 90.00 101.30 90.00°
Space group Pm (No. 6)
Asymmetric unit:
Te (0.000, 0.000, 0.000)
Rh (0.420, 0.500, 0.828)
Rh (0.829, 0.000, 0.635)
Cl (0.733, 0.500, 0.429)